# 1
First-principles (PBE) data for Ga3HgO after structural relaxation, as listed in Alexandria via LeMat-Bulk. Values from VASP.

Quantum ESPRESSO input file:
```
&SYSTEM
  ibrav = 0, nat = 5, ntyp = 3
/
ATOMIC_SPECIES
Ga 69.72 Ga.upf
Hg 200.59 Hg.upf
O 16.00 O.upf
CELL_PARAMETERS angstrom
4.5524 0.0000 0.0000
0.0000 4.5524 0.0000
0.0000 0.0000 4.5524
ATOMIC_POSITIONS angstrom
Ga 0.0000 0.0000 2.2762
Ga 0.0000 2.2762 0.0000
Ga 2.2762 0.0000 0.0000
Hg 2.2762 2.2762 2.2762
O 0.0000 0.0000 0.0000
```

Calculated values
- ΔE to the lowest computed polymorph: 0.000 eV per atom

***

# 2
First-principles (PBE) data for Sr2As3Pd after structural relaxation, as listed in Alexandria via LeMat-Bulk. Values from VASP.

Quantum ESPRESSO input file:
```
&SYSTEM
  ibrav = 0, nat = 12, ntyp = 3
/
ATOMIC_SPECIES
Sr 87.62 Sr.upf
As 74.92 As.upf
Pd 106.42 Pd.upf
CELL_PARAMETERS angstrom
0.0000 4.7298 7.2231
4.4537 0.0000 7.2231
4.4537 4.7298 0.0000
ATOMIC_POSITIONS angstrom
Sr 6.7322 4.7298 7.2231
Sr 2.2269 2.3649 3.6116
Sr 6.6806 7.0948 10.8347
Sr 2.1752 4.7298 7.2231
As 4.4537 4.7298 2.2070
As 4.4537 2.6085 5.9881
As 4.4537 2.6085 8.4581
As 4.4537 6.8511 5.9881
As 4.4537 6.8511 8.4581
As 4.4537 4.7298 12.2392
Pd 4.4537 4.7298 4.6746
Pd 4.4537 4.7298 9.7716
```

Calculated values
- DFT formation energy: -0.8363 eV per atom

***

# 3
First-principles (PBE) data for RbSnMo2 after structural relaxation, as listed in Alexandria via LeMat-Bulk. Values from VASP.

Quantum ESPRESSO input file:
```
&SYSTEM
  ibrav = 0, nat = 8, ntyp = 3
/
ATOMIC_SPECIES
Rb 85.47 Rb.upf
Sn 118.71 Sn.upf
Mo 95.94 Mo.upf
CELL_PARAMETERS angstrom
-4.1324 4.1324 2.8697
4.1324 -4.1324 2.8697
4.1324 4.1324 -2.8697
ATOMIC_POSITIONS angstrom
Rb 0.0000 0.0000 0.0000
Rb 0.0000 4.1324 1.4348
Sn 4.1324 0.0000 1.4348
Sn 0.0000 0.0000 2.8697
Mo 2.0662 -1.6686 2.1523
Mo 2.4638 2.0662 0.7174
Mo 2.0662 5.8010 -0.7174
Mo 1.6686 2.0662 3.5871
```

Calculated values
- DFT formation energy: 1.7742 eV per atom

***

# 4
First-principles (PBE) data for Na3Hg7Au after structural relaxation, as listed in Alexandria via LeMat-Bulk. Values from VASP.

Quantum ESPRESSO input file:
```
&SYSTEM
  ibrav = 0, nat = 22, ntyp = 3
/
ATOMIC_SPECIES
Na 22.99 Na.upf
Hg 200.59 Hg.upf
Au 196.97 Au.upf
CELL_PARAMETERS angstrom
1.8055 -12.4688 0.0000
1.8055 12.4688 0.0000
0.0000 0.0000 12.6693
ATOMIC_POSITIONS angstrom
Na 1.8055 8.8883 7.3743
Na 1.8055 8.8883 11.6297
Na 1.8055 8.5472 3.1673
Na 1.8055 -8.5472 9.5020
Na 1.8055 -8.8883 1.0396
Na 1.8055 -8.8883 5.2950
Hg 1.8055 5.4947 7.3828
Hg 1.8055 5.4947 11.6212
Hg 1.8055 5.1803 3.1673
Hg 1.8055 2.2144 7.5544
Hg 1.8055 2.2144 11.4496
Hg 1.8055 1.0355 1.6041
Hg 1.8055 1.0355 4.7306
Hg 1.8055 -1.0355 7.9387
Hg 1.8055 -1.0355 11.0653
Hg 1.8055 -2.2144 1.2197
Hg 1.8055 -2.2144 5.1150
Hg 1.8055 -5.1803 9.5020
Hg 1.8055 -5.4947 1.0481
Hg 1.8055 -5.4947 5.2865
Au 1.8055 11.6417 3.1673
Au 1.8055 -11.6417 9.5020
```

Calculated values
- DFT formation energy: -0.1595 eV per atom

***

# 5
First-principles (PBE) data for Pm4In3Pb after structural relaxation, as listed in Alexandria via LeMat-Bulk. Values from VASP.

Quantum ESPRESSO input file:
```
&SYSTEM
  ibrav = 0, nat = 16, ntyp = 3
/
ATOMIC_SPECIES
Pm 145.00 Pm.upf
In 114.82 In.upf
Pb 207.20 Pb.upf
CELL_PARAMETERS angstrom
11.0928 0.0000 0.0000
0.0000 7.3096 0.0000
0.0000 0.0000 5.6688
ATOMIC_POSITIONS angstrom
Pm 0.0000 1.8094 0.0000
Pm 0.0000 5.5002 0.0000
Pm 2.7732 1.8132 2.3791
Pm 2.7732 5.4964 2.3791
Pm 5.5464 1.8094 0.0000
Pm 5.5464 5.5002 0.0000
Pm 8.3196 1.8132 3.2897
Pm 8.3196 5.4964 3.2897
In 0.0000 0.0000 2.8344
In 2.7732 0.0000 5.1476
In 2.7732 3.6548 5.1744
In 5.5464 0.0000 2.8344
In 8.3196 0.0000 0.5213
In 8.3196 3.6548 0.4945
Pb 0.0000 3.6548 2.8344
Pb 5.5464 3.6548 2.8344
```

Calculated values
- DFT formation energy: -0.4855 eV per atom

***

# 6
First-principles (PBE) data for MgAg2Te after structural relaxation, as listed in Alexandria via LeMat-Bulk. Values from VASP.

Quantum ESPRESSO input file:
```
&SYSTEM
  ibrav = 0, nat = 4, ntyp = 3
/
ATOMIC_SPECIES
Mg 24.30 Mg.upf
Ag 107.87 Ag.upf
Te 127.60 Te.upf
CELL_PARAMETERS angstrom
2.9293 -3.0424 0.0000
2.9293 3.0424 0.0000
0.0000 0.0000 5.1401
ATOMIC_POSITIONS angstrom
Mg 0.0000 0.0000 0.0000
Ag 1.3902 0.0000 2.5701
Ag 4.4683 0.0000 2.5701
Te 2.9293 0.0000 0.0000
```

Calculated values
- ΔE to the lowest computed polymorph: 0.000 eV per atom

***

# 7
First-principles (PBE) data for Pr4Pd5Au3 after structural relaxation, as listed in Alexandria via LeMat-Bulk. Values from VASP.

Quantum ESPRESSO input file:
```
&SYSTEM
  ibrav = 0, nat = 12, ntyp = 3
/
ATOMIC_SPECIES
Pr 140.91 Pr.upf
Pd 106.42 Pd.upf
Au 196.97 Au.upf
CELL_PARAMETERS angstrom
7.0045 -2.4756 0.0000
7.0045 2.4756 0.0000
-5.5496 0.0000 8.2568
ATOMIC_POSITIONS angstrom
Pr -1.1684 0.0000 2.5480
Pr -0.6249 0.0000 6.2132
Pr 9.0844 0.0000 2.0436
Pr 9.6279 0.0000 5.7088
Pd 0.0000 0.0000 0.0000
Pd 1.5390 0.0000 4.0642
Pd 4.0440 0.0000 2.8263
Pd 4.4155 0.0000 5.4305
Pd 6.9204 0.0000 4.1926
Au 2.8018 0.0000 0.2915
Au 7.0045 0.0000 0.0000
Au 5.6577 0.0000 7.9653
```

Calculated values
- DFT formation energy: -0.5262 eV per atom

***

# 8
First-principles (PBE) data for Cs6TlCl8 after structural relaxation, as listed in Alexandria via LeMat-Bulk. Values from VASP.

Quantum ESPRESSO input file:
```
&SYSTEM
  ibrav = 0, nat = 15, ntyp = 3
/
ATOMIC_SPECIES
Cs 132.91 Cs.upf
Tl 204.38 Tl.upf
Cl 35.45 Cl.upf
CELL_PARAMETERS angstrom
9.9263 0.0000 0.0000
-4.9632 8.5964 0.0000
0.0000 0.0000 7.5469
ATOMIC_POSITIONS angstrom
Cs -1.8942 3.2808 1.6966
Cs -3.0690 5.3156 5.8504
Cs 3.7883 0.0000 1.6966
Cs 1.8942 3.2808 5.8504
Cs 6.1380 0.0000 5.8504
Cs 3.0690 5.3156 1.6966
Tl 0.0000 0.0000 3.7735
Cl -1.2895 2.2335 5.2203
Cl -3.6736 6.3629 2.3266
Cl 2.5791 0.0000 5.2203
Cl 1.2895 2.2335 2.3266
Cl 0.0000 5.7310 0.0000
Cl 4.9632 2.8655 0.0000
Cl 7.3472 0.0000 2.3266
Cl 3.6736 6.3629 5.2203
```

Calculated values
- Raw total energy: -3.174 eV/atom

***

# 9
First-principles (PBE) data for BaMgOF2 after structural relaxation, as listed in Alexandria via LeMat-Bulk. Values from VASP.

Quantum ESPRESSO input file:
```
&SYSTEM
  ibrav = 0, nat = 5, ntyp = 4
/
ATOMIC_SPECIES
Ba 137.33 Ba.upf
Mg 24.30 Mg.upf
O 16.00 O.upf
F 19.00 F.upf
CELL_PARAMETERS angstrom
4.0901 0.0000 0.0000
0.0000 4.0901 0.0000
0.0000 0.0000 4.1796
ATOMIC_POSITIONS angstrom
Ba 0.0000 0.0000 0.0000
Mg 2.0451 2.0451 2.0898
O 2.0451 2.0451 0.0000
F 0.0000 2.0451 2.0898
F 2.0451 0.0000 2.0898
```

Calculated values
- ΔE to the lowest computed polymorph: 0.000 eV per atom

***

# 10
First-principles (PBE) data for Ho2HfZrN4 after structural relaxation, as listed in Alexandria via LeMat-Bulk. Values from VASP.

Quantum ESPRESSO input file:
```
&SYSTEM
  ibrav = 0, nat = 8, ntyp = 4
/
ATOMIC_SPECIES
Ho 164.93 Ho.upf
Hf 178.49 Hf.upf
Zr 91.22 Zr.upf
N 14.01 N.upf
CELL_PARAMETERS angstrom
5.7442 0.0000 0.0000
0.0000 3.3177 0.0000
-1.9163 0.0000 5.4761
ATOMIC_POSITIONS angstrom
Ho 0.0000 0.0000 0.0000
Ho 2.8721 1.6588 0.0000
Hf -0.9582 1.6588 2.7381
Zr 1.9139 0.0000 2.7381
N -0.0252 0.0000 3.9964
N 0.9289 1.6588 1.4636
N 2.8990 1.6588 4.0126
N 3.8531 0.0000 1.4798
```

Calculated values
- Raw total energy: -9.396 eV/atom

***

# 11
First-principles (PBE) data for Pm4PrSm7 after structural relaxation, as listed in Alexandria via LeMat-Bulk. Values from VASP.

Quantum ESPRESSO input file:
```
&SYSTEM
  ibrav = 0, nat = 12, ntyp = 3
/
ATOMIC_SPECIES
Pm 145.00 Pm.upf
Pr 140.91 Pr.upf
Sm 150.36 Sm.upf
CELL_PARAMETERS angstrom
8.1641 -3.0221 0.0000
8.1641 3.0221 0.0000
-4.1431 0.0000 8.4814
ATOMIC_POSITIONS angstrom
Pm 0.3894 0.0000 1.6856
Pm -0.8618 0.0000 7.5327
Pm 13.0469 0.0000 0.9487
Pm 11.7957 0.0000 6.7958
Pr 6.0926 0.0000 4.2407
Sm -2.0715 0.0000 4.2407
Sm 2.0849 0.0000 5.2652
Sm 3.6321 0.0000 2.2976
Sm 6.5776 0.0000 0.4783
Sm 5.6075 0.0000 8.0030
Sm 8.5531 0.0000 6.1838
Sm 10.1003 0.0000 3.2162
```

Calculated values
- DFT formation energy: 0.2039 eV per atom
- ΔE to the lowest computed polymorph: 0.196 eV per atom